A plane-wave DFT calculation with PBE was carried out for a relaxed Ac2AlZnGa6 crystal.

M_tot	0.000	μB per atom
final energy	-3.416	eV/atom
E_form	-0.28	eV per atom

Unit cell a=6.6092 b=6.6092 c=36.6673 alpha=90.00 beta=90.00 gamma=120.00
Space group R-3m (No. 166, hexagonal axes)
Asymmetric unit:
Ac1 0.0000 0.0000 0.1143 (multiplicity 6)
Ac2 0.0000 0.0000 0.2919 (multiplicity 6)
Al1 0.0000 0.0000 0.0000 (multiplicity 3)
Al2 0.0000 0.0000 0.5000 (multiplicity 3)
Zn1 0.0000 0.0000 0.4300 (multiplicity 6)
Ga1 0.0532 0.5266 0.2932 (multiplicity 18)
Ga2 0.0738 0.5369 0.8713 (multiplicity 18)